! PmSm5Ho2 | the Alexandria database | PBE | optimized geometry; values from VASP
&SYSTEM
  ibrav = 0, nat = 16, ntyp = 3
/
ATOMIC_SPECIES
Ho 164.93 Ho.upf
Sm 150.36 Sm.upf
Pm 145.00 Pm.upf
ATOMIC_POSITIONS angstrom
Ho -0.556 -7.950 1.223
Sm 0.885 -5.020 -0.290
Ho 2.760 -7.584 5.086
Sm -2.654 -5.629 -0.563
Pm -1.214 -2.689 -2.074
Ho -1.441 -2.937 1.511
Pm 4.199 -4.651 3.572
Sm 3.874 -12.351 1.214
Sm 2.096 -2.328 1.782
Sm 4.858 -9.905 6.872
Sm 0.000 0.000 0.000
Sm 2.985 -7.339 1.498
Sm 1.548 -10.272 3.014
Ho 3.644 -12.597 4.797
Sm 0.656 -5.262 3.294
Sm 5.085 -9.659 3.286
CELL_PARAMETERS angstrom
-3.766 -0.856 3.313
-2.427 -5.377 -4.148
8.397 -9.301 7.144
! density of states at the Fermi level	1.44	states/eV per atom
! ΔE_f	0.124	eV/f.u.
! offset from the most stable computed form	0	meV per atom